Mg2HgSe2: PBEsol geometry, meta-GGA SCAN.

Geometry as extended XYZ:
```
5
Lattice="5.207 0.000 0.000 0.000 5.207 0.000 -2.604 -2.604 5.954" Properties=species:S:1:pos:R:3 pbc="T T T"
Mg 0.000 0.000 2.937
Mg 2.604 2.604 3.017
Hg 0.000 0.000 0.000
Se 0.000 2.604 2.977
Se 2.604 0.000 2.977
```

The calculation puts the offset from the most stable computed form at 0.1691 eV per atom. As for the uncorrected formation energy: -0.82 eV per atom. As for the magnetic moment: 0.00 Bohr magnetons per cell.